The following is a PBE+U calculation of a geometry-optimized MgV2O6 structure, from the Alexandria database.

The structure in extended XYZ format:
```
9
Lattice="-3.444 -0.947 4.337 -1.348 -1.580 -5.221 2.289 -4.624 0.808" Properties=species:S:1:pos:R:3 pbc="T T T"
Mg -2.259 -1.305 -1.067
V -2.172 -3.298 4.158
V -1.477 -1.541 -4.633
O -0.512 -1.686 -0.036
O -1.977 -5.470 -0.107
O -1.828 -3.401 2.591
O 0.671 -4.074 0.381
O -3.159 -3.082 -0.524
O -1.835 -1.433 -3.003
```

Output
**Theoretical density**: 2.62 g/cm³
**Raw total energy**: -7.179 eV per atom